## Na2Ca2TeO6 (PBE)

Data for a relaxed structure of Na2Ca2TeO6.

Cell and atoms, written as extended XYZ:
```
11
Lattice="-0.4574 5.7572 -0.0188 0.2178 -2.7475 5.0753 5.7294 -0.3815 -1.3963" Properties=species:S:1:pos:R:3 pbc="T T T"
Na -0.3547 4.4639 0.7558
Na 0.1151 -1.4543 4.3006
Ca 2.8550 -0.0731 2.6609
Ca 2.6348 2.7012 0.9992
Te 2.8647 -0.1908 -0.6982
O 3.8150 2.0842 2.9740
O 4.0223 -0.9206 0.7403
O 1.6749 0.5439 0.6861
O 3.8265 1.5457 -0.7369
O 1.4676 3.5487 2.9198
O 1.6633 1.0824 4.3970
```

Summary:
**Raw formation energy**: -2.024 eV per atom
**D(E_F)**: 0.00 states/eV per atom

=====

## NaCaTeO4 (PBE)

Data for a relaxed structure of NaCaTeO4.

Cell and atoms, written as extended XYZ:
```
14
Lattice="6.6536 0.0000 0.0000 3.3268 5.7334 -0.0340 3.3268 1.7143 5.4712" Properties=species:S:1:pos:R:3 pbc="T T T"
Na 4.9902 0.8571 2.7356
Na 1.6634 0.8571 2.7356
Ca 0.0000 0.0000 0.0000
Ca 3.3268 3.7238 2.7186
Te 6.6536 3.8501 0.7009
Te 6.6536 3.5976 4.7363
O 9.9804 5.5610 4.2532
O 6.6536 5.4264 4.1549
O 6.6536 2.0213 1.2823
O 3.3268 1.8867 1.1841
O 4.9452 4.6881 1.3127
O 8.3620 4.6881 1.3127
O 4.9452 2.7596 4.1245
O 8.3620 2.7596 4.1245
```

Summary:
**Raw formation energy**: -1.686 eV per atom
**D(E_F)**: 0.31 states/eV per atom